{
  "formula": "Hf2TcGe2",
  "functional": "GGA-PBEsol",
  "state": "relaxed",
  "lattice_angstrom": [[6.569, 0.000, 0.000], [0.000, 6.569, 0.000], [0.000, 0.000, 3.869]],
  "species": ["Hf", "Hf", "Hf", "Hf", "Tc", "Tc", "Ge", "Ge", "Ge", "Ge"],
  "fractional_positions": [[0.171, 0.329, 0.000], [0.329, 0.829, 0.000], [0.671, 0.171, 0.000], [0.829, 0.671, 0.000], [0.000, 0.000, 0.500], [0.500, 0.500, 0.500], [0.135, 0.635, 0.500], [0.365, 0.135, 0.500], [0.635, 0.865, 0.500], [0.865, 0.365, 0.500]],
  "e_form_kj_per_mol_atoms": -65.5,
  "final_energy_ev_per_cell": -91.1,
  "rho_g_cm3": 11.94
}